Compound: SnS2NO
Source: the Alexandria database
Functional: PBE
Structure: optimized geometry

Cell lengths 5.0941, 5.0941, 4.1686 Å; angles 90.00, 90.00, 90.00 degrees
Atoms (fractional coordinates):
1 Sn 0.0000 0.0000 0.0000
2 S 0.0000 0.5000 0.0000
3 S 0.5000 0.0000 0.0000
4 N 0.0000 0.0000 0.5000
5 O 0.5000 0.5000 0.5000

Summary:
DOS(E_F)   0.508 states/eV per atom
Raw total energy   -3.66 eV/atom
Formation energy from raw total energies   7.25 eV/f.u.
Excess energy over the best structure of this formula in the dataset   0.260 eV/atom